Version P
This record from the Alexandria database describes YTm2Ga after structural relaxation. The functional is GGA-PBE.

Lattice parameters (Å, degrees): 4.6763 4.6763 4.7084 90.00 90.00 90.00
Element x y z (fractional)
Y (0.0000, 0.0000, 0.0000)
Tm (0.0000, 0.5000, 0.5000)
Tm (0.5000, 0.0000, 0.5000)
Ga (0.5000, 0.5000, 0.0000)

Computed properties:
Spin magnetization = 0.00 μB/atom
Symmetry = P4/mmm, No. 123

---

Version Q
This record from the Alexandria database describes YTm2Ga after structural relaxation. The functional is GGA-PBE.

Lattice parameters (Å, degrees): 10.3092 10.3092 10.3092 19.96 19.96 19.96
Element x y z (fractional)
Y (0.0000, 0.0000, 0.0000)
Tm (0.5706, 0.5706, 0.5706)
Tm (0.7621, 0.7621, 0.7621)
Ga (0.1660, 0.1660, 0.1660)

Computed properties:
Spin magnetization = 0.18 μB/atom
Symmetry = R3m, No. 160

---

Which one is the most stable? From the structures above, version P.